Entry 1:
Compound: Dy8HoCd2
Source: Alexandria via LeMat-Bulk
Functional: PBE-GGA
Structure: relaxed

a = 8.718 Å, b = 8.718 Å, c = 5.560 Å
α = 101.12°, β = 101.12°, γ = 119.81°
Positions (direct):
Dy 0.094 0.320 0.614
Dy 0.219 0.781 0.000
Dy 0.320 0.094 0.614
Dy 0.399 0.399 0.202
Dy 0.601 0.601 0.798
Dy 0.680 0.906 0.386
Dy 0.781 0.219 0.000
Dy 0.906 0.680 0.386
Ho 0.000 0.000 0.000
Cd 0.306 0.694 0.500
Cd 0.694 0.306 0.500

Calculated values
calculated volume: 30.775 Å³/atom
formation energy: 34.9 meV per atom
VASP energy: -42.84 eV per formula unit



Entry 2:
Compound: Dy3HoCd6
Source: Alexandria via LeMat-Bulk
Functional: PBE-GGA
Structure: relaxed

a = 9.175 Å, b = 5.146 Å, c = 11.020 Å
α = 90.00°, β = 105.46°, γ = 90.00°
Positions (direct):
Dy 0.029 0.250 0.393
Dy 0.149 0.750 0.208
Dy 0.260 0.250 0.002
Dy 0.740 0.750 0.998
Dy 0.851 0.250 0.792
Dy 0.971 0.750 0.607
Ho 0.445 0.250 0.606
Ho 0.555 0.750 0.394
Cd 0.050 0.750 0.906
Cd 0.160 0.250 0.707
Cd 0.261 0.750 0.504
Cd 0.351 0.250 0.307
Cd 0.356 0.750 0.807
Cd 0.449 0.750 0.102
Cd 0.551 0.250 0.898
Cd 0.644 0.250 0.193
Cd 0.649 0.750 0.693
Cd 0.739 0.250 0.496
Cd 0.840 0.750 0.293
Cd 0.950 0.250 0.094

Calculated values
calculated volume: 25.075 Å³/atom
formation energy: -287.9 meV per atom
VASP energy: -26.75 eV per formula unit



Entry 3:
Compound: Dy4HoCd5
Source: Alexandria via LeMat-Bulk
Functional: PBE-GGA
Structure: relaxed

a = 3.737 Å, b = 3.737 Å, c = 18.734 Å
α = 90.00°, β = 90.00°, γ = 90.00°
Positions (direct):
Dy 0.000 0.000 0.100
Dy 0.000 0.000 0.301
Dy 0.000 0.000 0.699
Dy 0.000 0.000 0.900
Ho 0.000 0.000 0.500
Cd 0.500 0.500 0.000
Cd 0.500 0.500 0.200
Cd 0.500 0.500 0.401
Cd 0.500 0.500 0.599
Cd 0.500 0.500 0.800

Calculated values
calculated volume: 26.163 Å³/atom
formation energy: -317.8 meV per atom
VASP energy: -30.74 eV per formula unit



Entry 4:
Compound: Dy8Ho2Cd
Source: Alexandria via LeMat-Bulk
Functional: PBE-GGA
Structure: relaxed

a = 9.990 Å, b = 9.990 Å, c = 6.380 Å
α = 94.52°, β = 94.52°, γ = 32.19°
Positions (direct):
Dy 0.044 0.044 0.263
Dy 0.154 0.154 0.804
Dy 0.339 0.339 0.879
Dy 0.421 0.421 0.403
Dy 0.579 0.579 0.597
Dy 0.661 0.661 0.121
Dy 0.846 0.846 0.196
Dy 0.956 0.956 0.737
Ho 0.242 0.242 0.334
Ho 0.758 0.758 0.666
Cd 0.500 0.500 0.000

Calculated values
calculated volume: 30.733 Å³/atom
formation energy: -16.8 meV per atom
VASP energy: -47.07 eV per formula unit